# Ba2Si2NiIr, relaxed, DFT GGA-PBE
data_Ba2Si2NiIr
_symmetry_space_group_name_H-M 'P -4 m 2'
_symmetry_Int_Tables_number 115
_cell_length_a 4.026
_cell_length_b 4.026
_cell_length_c 10.094
_cell_angle_alpha 90.00
_cell_angle_beta 90.00
_cell_angle_gamma 90.00
loop_
_symmetry_equiv_pos_as_xyz
'x,y,z'
'y,-x,-z'
'-x,-y,z'
'-y,x,-z'
'-x,y,z'
'-y,-x,-z'
'x,-y,z'
'y,x,-z'
loop_
_atom_site_label
_atom_site_type_symbol
_atom_site_fract_x
_atom_site_fract_y
_atom_site_fract_z
Ba1 Ba 0.000 0.500 0.203
Si1 Si 0.000 0.500 0.624
Ni1 Ni 0.500 0.500 0.500
Ir1 Ir 0.000 0.000 0.500
# - Density: 5.91 g/cm3
# - Final energy: -5.447 eV per atom
# - Magnetic moment: 0.0 μB per formula unit